## InCoF2 (GGA+U)

Data for InCoF2 after structural relaxation.

Structure (POSCAR):
```
InCoF2
1.0
1.602 0.925 7.281
-1.602 0.925 7.281
0.000 -1.850 7.281
In Co F
1 1 2
Cartesian
0.000 0.000 0.000
0.000 0.000 10.921
0.000 0.000 2.529
0.000 0.000 19.314
```

**Space-group type**: R-3m, No. 166
**Crystal system**: trigonal
**Density**: 5.43 g/cm³
**Fermi-level density of states**: 3.2 states/eV/cell
**Total magnetization**: 2.522 μB per formula unit
**E_tot**: -4.2590 eV per atom